Crystalline ZrTi2Au at its relaxed geometry. Source: the Alexandria database, functional PBE.

Structure (POSCAR):
```
ZrTi2Au
1.0
3.9715 0.0000 0.0000
0.0000 3.9715 0.0000
1.9858 1.9858 9.9849
Au Zr Ti
2 2 4
Cartesian
0.0000 0.0000 0.0000
3.9715 1.9858 4.9925
1.9858 1.9858 0.0000
1.9858 3.9715 4.9925
2.9882 0.9929 2.4962
0.9833 2.9786 2.4962
2.9786 2.9691 7.4887
4.9644 4.9739 7.4887
```

Values from the calculation:
The value obtained for the density of states at the Fermi level is 7.461 states/eV/f.u. The total energy is -6.766 eV/atom. The calculation puts the formation energy at 0.550 eV per formula unit. As for the symmetry: I-42d, No. 122.



Crystalline NaLi2RuN at its relaxed geometry. Source: the Alexandria database, functional PBE.

Structure (POSCAR):
```
NaLi2RuN
1.0
4.3376 0.0000 0.0000
0.0000 3.8165 0.0000
0.0000 0.0000 4.3376
Ru N Li Na
1 1 2 1
Cartesian
0.0000 1.9083 0.0000
0.0000 0.0000 0.0000
0.0000 0.0000 2.1688
2.1688 0.0000 0.0000
2.1688 1.9083 2.1688
```

Values from the calculation:
For the formation energy (no corrections), the calculation gives -96 meV/atom. The value obtained for the density of states at the Fermi level is 1.373 states/eV/f.u. The total energy is -4.646 eV/atom. As for the symmetry: P4/mmm, No. 123.



Crystalline Na2Al2CdAg5 at its relaxed geometry. Source: the Alexandria database, functional PBE.

Structure (POSCAR):
```
Na2Al2CdAg5
1.0
3.2424 0.0000 0.0000
0.0000 11.2871 0.0000
0.0000 0.0000 11.2871
Na Al Cd Ag
4 4 2 10
Cartesian
0.0000 7.5890 1.9455
0.0000 3.6981 9.3416
0.0000 1.9455 3.6981
0.0000 9.3416 7.5890
0.0000 1.4735 7.1170
0.0000 9.8136 4.1701
0.0000 7.1170 9.8136
0.0000 4.1701 1.4735
0.0000 0.0000 0.0000
0.0000 5.6435 5.6435
1.6212 2.2378 0.7157
1.6212 9.0493 10.5714
1.6212 0.7157 9.0493
1.6212 7.8813 4.9279
1.6212 10.5714 2.2378
1.6212 3.4058 6.3592
1.6212 6.3592 7.8813
1.6212 4.9279 3.4058
1.6212 5.6435 0.0000
1.6212 0.0000 5.6435
```

Values from the calculation:
The value obtained for the density of states at the Fermi level is 2.392 states/eV/f.u. The total energy is -2.569 eV/atom. The calculation puts the formation energy at -0.394 eV per formula unit. As for the symmetry: P4/mbm, No. 127.



Crystalline PuAl3 at its relaxed geometry. Source: the Alexandria database, functional PBE.

Structure (POSCAR):
```
PuAl3
1.0
-1.2408 3.0689 5.0964
-3.9331 0.0848 -4.6318
-6.6418 -11.6957 5.4258
Pu Al
6 18
Cartesian
-1.6604 -2.9239 1.3564
-4.9813 -8.7718 4.0693
-3.6264 0.0393 -0.9065
-6.0498 -4.8139 5.0491
-8.1893 -8.5814 6.7969
-5.7659 -3.7282 0.8412
-2.3941 -1.3492 3.8528
-7.6018 -7.2321 4.1806
-7.0277 -8.6520 1.8226
-4.7880 0.1100 4.0677
-4.2139 -1.3100 1.7097
-9.4216 -7.1928 2.0375
-5.3975 -6.2670 2.4597
-2.2399 1.6045 3.9091
-1.6244 0.0821 1.3808
-7.9643 -4.7025 2.6902
-7.3487 -6.2249 0.1619
-6.4182 -2.2750 3.4306
-4.4670 -2.3171 5.7284
-4.1911 1.6466 1.6113
-3.8514 -3.8396 3.2001
-10.1913 -8.6241 4.5095
-7.6245 -10.1887 4.2790
-9.5758 -10.1466 1.9812
```

Values from the calculation:
The value obtained for the density of states at the Fermi level is 9.749 states/eV/f.u. The total energy is -6.659 eV/atom. The calculation puts the formation energy at -1.078 eV per formula unit. As for the symmetry: P6_3/mmc, No. 194.



Crystalline Dy12Er5Tm at its relaxed geometry. Source: the Alexandria database, functional PBE.

Structure (POSCAR):
```
Dy12Er5Tm
1.0
5.2980 3.0535 0.1805
-5.2980 3.0535 0.1805
0.0000 1.0160 17.2128
Dy Er Tm
12 5 1
Cartesian
0.0000 1.3573 11.5220
0.0000 5.7657 6.0518
0.0000 1.8636 2.9546
0.0000 5.2593 14.6192
-1.7648 4.9192 3.1352
-1.7648 2.2037 14.4386
1.7648 4.9192 3.1352
1.7648 2.2037 14.4386
1.7660 2.7123 5.8711
-1.7660 2.7123 5.8711
1.7660 4.4106 11.7026
-1.7660 4.4106 11.7026
0.0000 3.5615 8.7869
3.5318 3.5615 8.7869
-3.5318 3.5615 8.7869
-1.7659 3.0535 0.1805
1.7659 3.0535 0.1805
0.0000 0.0000 0.0000
```

Values from the calculation:
The value obtained for the density of states at the Fermi level is 22.109 states/eV/f.u. The total energy is -4.574 eV/atom. The calculation puts the formation energy at 0.171 eV per formula unit. As for the symmetry: C2/m, No. 12.